[1]
A plane-wave DFT calculation with PBE was carried out for crystalline PaH2S at its relaxed geometry.

Output
ρ = 7.9 g/cm³
Crystal system = tetragonal
ΔE to the lowest computed polymorph = 2.945 eV per formula unit
E_tot = -5.2088 eV/atom

Lattice parameters (Å, degrees): 3.282 3.282 5.155 90.00 90.00 90.00
Space group P4/mmm (No. 123)
Inequivalent atoms, fractional coordinates:
Pa  0.000  0.000  0.000
H  0.500  0.500  0.174
S  0.000  0.000  0.500

[2]
A plane-wave DFT calculation with PBE was carried out for crystalline Pa2H2S7 at its relaxed geometry.

Output
ρ = 4.4 g/cm³
Crystal system = monoclinic
E_tot = -5.6989 eV/atom

Lattice parameters (Å, degrees): 7.181 11.969 6.429 90.00 109.57 90.00
Space group C2/m (No. 12)
Inequivalent atoms, fractional coordinates:
Pa  0.000  0.179  0.000
H  0.092  0.500  0.338
S  0.000  0.500  0.500
S  0.191  0.000  0.247
S  0.246  0.174  0.777

[3]
A plane-wave DFT calculation with PBE was carried out for crystalline PaHS4 at its relaxed geometry.

Output
ρ = 4.4 g/cm³
Crystal system = orthorhombic
E_tot = -5.5869 eV/atom

Lattice parameters (Å, degrees): 8.028 6.751 9.988 90.00 90.00 90.00
Space group Cmcm (No. 63)
Inequivalent atoms, fractional coordinates:
Pa  0.000  0.117  0.250
H  0.000  0.493  0.750
S  0.000  0.151  0.517
S  0.197  0.444  0.250

[4]
A plane-wave DFT calculation with PBE was carried out for crystalline Pa2H2SeS at its relaxed geometry.

Output
ρ = 10.1 g/cm³
Crystal system = trigonal
E_tot = -6.6423 eV/atom

Lattice parameters (Å, degrees): 3.8143 3.8143 7.5284 90.00 90.00 120.00
Space group P-3m1 (No. 164)
Inequivalent atoms, fractional coordinates:
Pa  0.3333  0.6667  0.2754
H  0.3333  0.6667  0.7502
Se  0.0000  0.0000  0.0000
S  0.0000  0.0000  0.5000